Version a
The following is a DFT calculation (PBE+U) of a geometry-optimized MnH11C5NO6 structure.

Structure (POSCAR):
```
MnH11C5NO6
1.0
4.237 7.262 -0.036
-4.237 7.262 -0.036
0.000 4.543 7.810
O H N C Mn
12 22 2 10 2
Cartesian
-0.237 8.673 1.926 O
-0.158 3.802 3.714 O
0.237 10.945 5.830 O
2.853 12.558 6.140 O
-2.853 10.286 2.235 O
-3.038 7.176 2.114 O
1.370 9.469 3.285 O
1.274 12.626 3.402 O
3.038 9.448 6.019 O
0.158 6.073 7.619 O
-1.274 14.897 7.307 O
-1.370 11.740 7.190 O
2.474 5.393 1.321 H
2.358 7.014 0.538 H
0.993 6.387 1.508 H
2.232 7.992 2.770 H
-0.373 10.459 2.902 H
1.307 6.154 3.993 H
0.614 4.962 5.968 H
1.411 14.781 7.614 H
-1.394 14.013 4.678 H
-1.307 3.882 0.088 H
-0.993 8.659 5.412 H
0.373 12.730 6.807 H
-2.232 10.264 6.675 H
-2.474 7.664 5.225 H
-0.614 2.691 2.064 H
-1.297 6.308 2.721 H
-2.358 9.286 4.443 H
0.538 16.666 6.356 H
-0.538 14.394 2.452 H
1.297 8.579 6.625 H
1.394 11.742 0.774 H
-1.411 12.510 3.710 H
-2.656 9.307 6.534 N
2.656 7.036 2.630 N
-2.083 8.683 5.314 C
0.188 3.165 2.672 C
1.847 15.777 7.727 C
0.232 9.552 2.702 C
-2.407 6.274 2.763 C
2.407 8.546 6.668 C
2.083 6.412 1.409 C
-1.847 13.506 3.822 C
-0.232 11.824 6.607 C
-0.188 5.436 6.577 C
-2.146 8.785 0.797 Mn
2.146 11.057 4.702 Mn
```

## Properties
- D(E_F) (states/eV per atom) = 0.00
- space group = No. 9
- total moment (μB per formula unit) = 5.00


Version b
The following is a DFT calculation (PBE+U) of a geometry-optimized MnH11C5NO6 structure.

Structure (POSCAR):
```
MnH11C5NO6
1.0
8.347 0.000 0.000
0.000 9.191 0.000
0.000 0.000 12.171
H O C Mn N
44 24 20 4 4
Cartesian
2.699 9.150 9.575 H
0.062 6.170 8.452 H
0.577 9.060 9.222 H
6.616 6.173 6.510 H
6.118 2.358 11.586 H
1.731 3.018 0.424 H
8.216 2.786 4.046 H
8.272 5.166 4.433 H
0.075 4.025 10.519 H
4.249 0.571 4.433 H
2.442 7.613 0.424 H
4.305 7.381 4.046 H
5.905 1.577 6.510 H
6.873 4.636 3.490 H
8.285 3.021 2.366 H
4.462 0.717 1.360 H
1.474 4.555 9.575 H
4.685 2.084 2.460 H
4.236 7.616 2.366 H
3.662 7.107 8.545 H
2.230 6.833 5.500 H
7.836 6.679 2.460 H
5.429 1.078 9.445 H
7.258 3.283 8.407 H
4.042 1.810 10.132 H
4.751 4.726 3.137 H
3.597 4.465 9.222 H
4.099 8.620 10.519 H
0.511 2.512 8.545 H
6.403 6.953 11.586 H
4.111 1.574 8.452 H
1.255 3.517 3.360 H
0.131 6.405 10.132 H
0.288 3.879 7.445 H
2.919 8.113 3.360 H
5.263 7.878 8.407 H
1.089 5.908 2.322 H
3.885 8.474 7.445 H
1.944 2.238 5.500 H
7.092 5.673 9.445 H
8.059 5.312 1.360 H
7.770 0.130 3.137 H
3.085 1.313 2.322 H
5.648 0.040 3.490 H
1.826 0.741 6.880 O
7.556 2.224 0.844 O
5.903 3.235 5.315 O
2.347 5.336 6.880 O
6.000 3.854 0.795 O
6.521 8.450 0.795 O
3.357 2.914 11.378 O
7.241 0.479 10.201 O
0.792 6.966 6.930 O
0.816 7.510 11.378 O
1.106 8.712 4.116 O
7.323 0.107 7.985 O
4.965 6.819 0.844 O
2.445 5.956 11.400 O
1.025 9.084 1.900 O
3.149 4.489 1.900 O
4.990 6.276 5.292 O
3.382 2.371 6.930 O
5.198 4.702 7.985 O
6.618 7.830 5.315 O
5.280 5.074 10.201 O
7.531 1.681 5.292 O
1.729 1.361 11.400 O
3.067 4.117 4.116 O
6.425 2.161 5.725 C
4.667 4.741 9.133 C
3.782 8.997 9.538 C
7.854 0.146 9.133 C
4.165 1.128 2.333 C
0.009 5.724 2.333 C
4.182 8.062 8.418 C
7.955 4.789 3.453 C
6.096 6.756 5.725 C
0.392 4.401 9.538 C
2.367 1.784 6.420 C
3.680 4.449 3.047 C
4.566 0.194 3.453 C
6.541 2.811 0.335 C
2.251 2.435 11.810 C
1.807 6.379 6.420 C
8.339 3.467 8.418 C
0.494 9.045 3.047 C
5.980 7.407 0.335 C
1.922 7.030 11.810 C
0.032 8.914 6.088 Mn
4.206 4.872 0.002 Mn
4.141 4.319 6.088 Mn
8.315 0.277 0.002 Mn
8.127 5.758 9.376 N
3.953 8.028 3.290 N
0.221 3.433 3.290 N
4.394 1.163 9.376 N
```

## Properties
- D(E_F) (states/eV per atom) = 0.00
- space group = No. 33
- total moment (μB per formula unit) = 5.00


It comes down to version b, which is 16 meV per atom more stable than the next structure.